Record 1
The following is a PBE calculation of an optimized crystal structure of TlGe2Rh2, from the Alexandria database.

The space group is I4/mmm (No. 139) and the conventional cell measures 3.831, 3.831 and 12.300 Å, with angles of 90.00, 90.00 and 90.00 degrees. The inequivalent atoms are Tl at (0.000, 0.000, 0.000), Ge at (0.000, 0.500, 0.250) and Rh at (0.000, 0.000, 0.380).

As for the relative energy among the computed polymorphs: 0.0590 eV per atom. As for the formation energy from the elements: -1.0 eV/f.u. The calculation puts the raw total energy at -5.4573 eV/atom.


Record 2
The following is a PBE calculation of an optimized crystal structure of TlGe2Rh2, from the Alexandria database.

The space group is P4/mbm (No. 127) and the conventional cell measures 7.657, 7.657 and 2.941 Å, with angles of 90.00, 90.00 and 90.00 degrees. The inequivalent atoms are Tl at (0.000, 0.000, 0.000), Ge at (0.145, 0.355, 0.500) and Rh at (0.142, 0.642, 0.000).

As for the relative energy among the computed polymorphs: 0.0746 eV per atom. As for the formation energy from the elements: -0.9 eV/f.u. The calculation puts the raw total energy at -5.4418 eV/atom.


Record 3
The following is a PBE calculation of an optimized crystal structure of Tl3GeRh, from the Alexandria database.

The space group is Pm-3m (No. 221) and the conventional cell measures 5.240, 5.240 and 5.240 Å, with angles of 90.00, 90.00 and 90.00 degrees. The inequivalent atoms are Tl at (0.000, 0.000, 0.500), Ge at (0.500, 0.500, 0.500) and Rh at (0.000, 0.000, 0.000).

As for the relative energy among the computed polymorphs: 0.0000 eV per atom. As for the formation energy from the elements: 1.7 eV/f.u. The calculation puts the raw total energy at -3.4651 eV/atom.


Record 4
The following is a PBE calculation of an optimized crystal structure of Tl2GeRh2, from the Alexandria database.

The space group is P4/mbm (No. 127) and the conventional cell measures 6.641, 6.641 and 4.364 Å, with angles of 90.00, 90.00 and 90.00 degrees. The inequivalent atoms are Tl at (0.159, 0.341, 0.000), Ge at (0.000, 0.000, 0.500) and Rh at (0.159, 0.659, 0.500).

As for the formation energy from the elements: 0.0 eV/f.u. The calculation puts the raw total energy at -4.8006 eV/atom.